(1)
! PBE Ce2Si2Ni3, relaxed; values from VASP
! - formation energy (no corrections) (eV/atom) = -0.6308
! - density (g/cm³) = 7.3
! - energy (eV/atom) = -6.353
&SYSTEM
  ibrav = 0, nat = 7, ntyp = 3
/
ATOMIC_SPECIES
Ce 140.12 Ce.upf
Si 28.09 Si.upf
Ni 58.69 Ni.upf
CELL_PARAMETERS angstrom
-3.7361 0.5069 0.1358
1.3820 -2.5606 -4.8269
-0.3194 -3.8087 5.4293
ATOMIC_POSITIONS crystal
Ce 0.8654 0.7308 0.2515
Ce 0.1346 0.2692 0.7485
Si 0.8631 0.7262 0.7896
Si 0.1369 0.2738 0.2104
Ni 0.5000 0.0000 0.0000
Ni 0.6471 0.2942 0.4313
Ni 0.3529 0.7058 0.5687



(2)
! PBE Ce2SiNi, relaxed; values from VASP
! - energy above the most stable polymorph in this dataset (meV per atom) = 0
! - formation energy (no corrections) (eV/atom) = -0.5556
! - density (g/cm³) = 7.9
! - energy (eV/atom) = -6.324
&SYSTEM
  ibrav = 0, nat = 4, ntyp = 3
/
ATOMIC_SPECIES
Ce 140.12 Ce.upf
Si 28.09 Si.upf
Ni 58.69 Ni.upf
CELL_PARAMETERS angstrom
-3.0967 -2.4428 -1.0678
0.1856 -2.1295 -3.4829
1.3337 -5.5848 1.0878
ATOMIC_POSITIONS crystal
Ce 0.9203 0.6833 0.4761
Ce 0.6881 0.4511 0.1725
Si 0.4756 0.2385 0.8103
Ni 0.1262 0.8890 0.8585



(3)
! PBE Ce2Si9Ni17, relaxed; values from VASP
! - formation energy (no corrections) (eV/atom) = -0.5973
! - density (g/cm³) = 7.2
! - energy (eV/atom) = -6.274
&SYSTEM
  ibrav = 0, nat = 28, ntyp = 3
/
ATOMIC_SPECIES
Ce 140.12 Ce.upf
Si 28.09 Si.upf
Ni 58.69 Ni.upf
CELL_PARAMETERS angstrom
-7.7988 1.8896 -0.4039
-4.9753 -4.1740 -4.4837
-5.3540 -4.4966 3.5355
ATOMIC_POSITIONS crystal
Ce 0.2500 0.2500 0.2500
Ce 0.7500 0.7500 0.7500
Si 0.6970 0.0596 0.9404
Si 0.0596 0.6970 0.3030
Si 0.2096 0.5571 0.7904
Si 0.5571 0.2096 0.4429
Si 0.3030 0.9404 0.0596
Si 0.9404 0.3030 0.6970
Si 0.7904 0.4429 0.2096
Si 0.4429 0.7904 0.5571
Si 0.0000 0.0000 0.0000
Ni 0.7146 0.2854 0.0592
Ni 0.2854 0.7146 0.9408
Ni 0.2031 0.7969 0.4357
Ni 0.7969 0.2031 0.5643
Ni 0.4357 0.5643 0.2031
Ni 0.5643 0.4357 0.7969
Ni 0.0592 0.9408 0.7146
Ni 0.9408 0.0592 0.2854
Ni 0.4410 0.1886 0.8114
Ni 0.1886 0.4410 0.5590
Ni 0.9423 0.6879 0.0577
Ni 0.6879 0.9423 0.3121
Ni 0.5590 0.8114 0.1886
Ni 0.8114 0.5590 0.4410
Ni 0.0577 0.3121 0.9423
Ni 0.3121 0.0577 0.6879
Ni 0.5000 0.5000 0.5000



(4)
! PBE Ce2Si3Ni, relaxed; values from VASP
! - energy above the most stable polymorph in this dataset (meV per atom) = 50
! - formation energy (no corrections) (eV/atom) = -0.7389
! - density (g/cm³) = 6.1
! - energy (eV/atom) = -6.392
&SYSTEM
  ibrav = 0, nat = 6, ntyp = 3
/
ATOMIC_SPECIES
Ce 140.12 Ce.upf
Si 28.09 Si.upf
Ni 58.69 Ni.upf
CELL_PARAMETERS angstrom
-1.4352 2.8406 -2.5287
0.8610 -3.7183 -1.3986
-7.4953 -2.3450 1.6200
ATOMIC_POSITIONS crystal
Ce 0.3333 0.6667 0.2419
Ce 0.3333 0.6667 0.7581
Si 0.6667 0.3333 0.5000
Si 0.0000 0.0000 0.0000
Si 0.0000 0.0000 0.5000
Ni 0.6667 0.3333 0.0000



Asked for density of states at the Fermi level across the records above, the calculation gives 1.202, 1.762, 0.870, 0.923 states/eV per atom in order.